1.
A relaxed LiPb3 crystal. Source: the Alexandria database, functional GGA-PBE.

Unit cell a=4.838 b=4.838 c=4.838 alpha=90.00 beta=90.00 gamma=90.00
Atoms (fractional coordinates):
Pb1 0.500 0.000 0.500
Li1 0.000 0.000 0.000
Pb2 0.000 0.500 0.500
Pb3 0.500 0.500 0.000

As for the total moment: 0.0 Bohr magnetons per cell. The crystal system is cubic. The calculation puts the total energy at -13.551 eV/cell. The value obtained for the energy of formation is -0.128 eV/atom.

=====

2.
A relaxed LiNd2Ga5 crystal. Source: the Alexandria database, functional GGA-PBE.

Unit cell a=6.195 b=6.195 c=6.195 alpha=90.70 beta=119.60 gamma=119.60
Atoms (fractional coordinates):
Li1 0.000 0.835 0.835
Ga1 0.000 0.301 0.752
Nd1 0.500 0.277 0.777
Ga2 0.451 0.752 0.752
Ga3 0.549 0.301 0.301
Ga4 0.000 0.228 0.228
Nd2 0.500 0.777 0.277
Ga5 0.000 0.752 0.301

As for the total moment: 0.0 Bohr magnetons per cell. The crystal system is tetragonal. The calculation puts the total energy at -30.342 eV/cell. The value obtained for the energy of formation is -0.470 eV/atom.

=====

3.
A relaxed CsAc3 crystal. Source: the Alexandria database, functional GGA-PBE.

Unit cell a=5.824 b=5.824 c=5.824 alpha=90.00 beta=90.00 gamma=90.00
Atoms (fractional coordinates):
Cs1 0.000 0.000 0.000
Ac1 0.000 0.500 0.500
Ac2 0.500 0.000 0.500
Ac3 0.500 0.500 0.000

As for the total moment: 0.0 Bohr magnetons per cell. The crystal system is cubic. The calculation puts the total energy at -11.530 eV/cell. The value obtained for the excess energy over the best structure of this formula in the dataset is 0.007 eV/atom. The value obtained for the energy of formation is 0.412 eV/atom.

=====

4.
A relaxed Na2Y2TcO6 crystal. Source: the Alexandria database, functional GGA-PBE.

Unit cell a=5.758 b=5.758 c=5.879 alpha=97.69 beta=97.69 gamma=119.81
Last column: magnetic moment on the atom in μB.
Atoms (fractional coordinates):
O1 0.640 0.955 0.306  0.06
Na1 0.150 0.850 0.000  0.00
Y1 0.336 0.664 0.500  0.02
Na2 0.850 0.150 0.000  0.00
O2 0.360 0.045 0.694  0.06
O3 0.245 0.245 0.301  0.07
Y2 0.664 0.336 0.500  0.02
O4 0.755 0.755 0.699  0.07
O5 0.955 0.640 0.306  0.06
O6 0.045 0.360 0.694  0.06
Tc1 0.000 0.000 0.500  2.30

As for the total moment: 3.0 Bohr magnetons per cell. The crystal system is monoclinic. The calculation puts the total energy at -81.577 eV/cell.

=====

5.
A relaxed Tc2C crystal. Source: the Alexandria database, functional GGA-PBE.

Unit cell a=3.971 b=3.971 c=4.623 alpha=90.00 beta=90.00 gamma=90.00
Atoms (fractional coordinates):
Tc1 0.500 0.000 0.434
C1 0.500 0.000 0.853
Tc2 0.000 0.000 0.000
Tc3 0.000 0.500 0.566
C2 0.000 0.500 0.147
Tc4 0.500 0.500 0.000

As for the total moment: 0.0 Bohr magnetons per cell. The crystal system is tetragonal. The calculation puts the total energy at -57.713 eV/cell. The value obtained for the excess energy over the best structure of this formula in the dataset is 0.292 eV/atom. The value obtained for the energy of formation is 0.366 eV/atom.

=====

6.
A relaxed Mg3InS4 crystal. Source: the Alexandria database, functional GGA-PBE.

Unit cell a=5.847 b=5.847 c=5.847 alpha=90.00 beta=90.00 gamma=90.00
Atoms (fractional coordinates):
S1 0.265 0.265 0.265
S2 0.735 0.265 0.735
Mg1 0.500 0.000 0.500
S3 0.265 0.735 0.735
In1 0.000 0.000 0.000
S4 0.735 0.735 0.265
Mg2 0.000 0.500 0.500
Mg3 0.500 0.500 0.000

As for the total moment: 0.0 Bohr magnetons per cell. The crystal system is cubic. The calculation puts the total energy at -32.667 eV/cell.

=====

7.
A relaxed Pm3Y5Er4 crystal. Source: the Alexandria database, functional GGA-PBE.

Unit cell a=5.694 b=9.690 c=9.342 alpha=113.70 beta=72.26 gamma=72.91
Last column: magnetic moment on the atom in μB.
Atoms (fractional coordinates):
Er1 0.062 0.146 0.729  0.00
Er2 0.160 0.804 0.877  0.01
Y1 0.340 0.063 0.257  0.00
Pm1 0.542 0.274 0.643  0.00
Er3 0.840 0.196 0.123  0.01
Y2 0.268 0.393 0.070  0.01
Er4 0.938 0.854 0.271  0.00
Pm2 0.458 0.726 0.357  0.00
Pm3 0.000 0.500 0.500  0.14
Y3 0.500 0.500 0.500  0.14
Y4 0.660 0.937 0.743  0.00
Y5 0.732 0.607 0.930  0.01

As for the total moment: 0.4 Bohr magnetons per cell. The crystal system is monoclinic. The calculation puts the total energy at -61.598 eV/cell. The value obtained for the excess energy over the best structure of this formula in the dataset is 0.248 eV/atom. The value obtained for the energy of formation is 0.269 eV/atom.

=====

8.
A relaxed La2TbPm4Ho2 crystal. Source: the Alexandria database, functional GGA-PBE.

Unit cell a=3.673 b=9.683 c=9.733 alpha=115.24 beta=90.00 gamma=100.93
Atoms (fractional coordinates):
Pm1 0.186 0.372 0.335
Ho1 0.148 0.295 0.665
Ho2 0.852 0.705 0.335
La1 0.334 0.668 0.002
Pm2 0.519 0.038 0.336
La2 0.666 0.332 0.998
Tb1 0.000 0.000 0.000
Pm3 0.814 0.628 0.665
Pm4 0.481 0.962 0.664

As for the total moment: 0.0 Bohr magnetons per cell. The crystal system is monoclinic. The calculation puts the total energy at -42.598 eV/cell. The value obtained for the energy of formation is 0.005 eV/atom.

=====

9.
A relaxed CaRe3C crystal. Source: the Alexandria database, functional GGA-PBE.

Unit cell a=4.218 b=4.218 c=4.218 alpha=90.00 beta=90.00 gamma=90.00
Atoms (fractional coordinates):
Re1 0.000 0.000 0.500
Re2 0.000 0.500 0.000
Ca1 0.500 0.500 0.500
Re3 0.500 0.000 0.000
C1 0.000 0.000 0.000

As for the total moment: 0.0 Bohr magnetons per cell. The crystal system is cubic. The calculation puts the total energy at -45.734 eV/cell. The value obtained for the excess energy over the best structure of this formula in the dataset is 0.000 eV/atom. The value obtained for the energy of formation is 0.567 eV/atom.

=====

10.
A relaxed Cs2ZnSb2Pb crystal. Source: the Alexandria database, functional GGA-PBE.

Unit cell a=7.440 b=7.455 c=10.099 alpha=111.66 beta=111.61 gamma=90.00
Atoms (fractional coordinates):
Zn1 0.500 0.250 0.000
Cs1 0.416 0.170 0.340
Cs2 0.076 0.330 0.660
Zn2 0.500 0.750 0.000
Pb1 0.000 0.250 0.000
Cs3 0.924 0.670 0.340
Sb1 0.801 0.087 0.174
Cs4 0.584 0.830 0.660
Sb2 0.372 0.587 0.174
Pb2 0.000 0.750 0.000
Sb3 0.199 0.913 0.826
Sb4 0.628 0.413 0.826

As for the total moment: 0.0 Bohr magnetons per cell. The crystal system is orthorhombic. The calculation puts the total energy at -33.681 eV/cell.

=====

11.
A relaxed NaTl2PbBr6 crystal. Source: the Alexandria database, functional GGA-PBE.

Unit cell a=7.507 b=8.156 c=11.193 alpha=90.00 beta=92.02 gamma=90.00
Atoms (fractional coordinates):
Br1 0.330 0.686 0.436
Na1 0.500 0.000 0.500
Br2 0.343 0.932 0.747
Br3 0.826 0.816 0.580
Br4 0.657 0.068 0.253
Tl1 0.966 0.087 0.762
Br5 0.674 0.316 0.920
Tl2 0.034 0.913 0.238
Br6 0.174 0.184 0.420
Br7 0.830 0.814 0.936
Br8 0.170 0.186 0.064
Br9 0.326 0.684 0.080
Pb1 0.000 0.500 0.500
Pb2 0.500 0.000 0.000
Tl3 0.534 0.587 0.738
Tl4 0.466 0.413 0.262
Na2 0.000 0.500 0.000
Br10 0.843 0.568 0.247
Br11 0.157 0.432 0.753
Br12 0.670 0.314 0.564

As for the total moment: 0.0 Bohr magnetons per cell. The crystal system is monoclinic. The calculation puts the total energy at -57.300 eV/cell.

=====

12.
A relaxed LiNbTe3O12 crystal. Source: the Alexandria database, functional GGA-PBE.

Unit cell a=8.514 b=5.019 c=5.304 alpha=88.05 beta=90.00 gamma=90.00
Atoms (fractional coordinates):
Te1 0.576 0.500 0.000
O1 0.248 0.249 0.364
O2 0.066 0.198 0.800
O3 0.925 0.785 0.679
O4 0.066 0.802 0.200
O5 0.925 0.215 0.321
O6 0.414 0.292 0.820
O7 0.414 0.708 0.180
Te2 0.395 0.500 0.500
O8 0.569 0.699 0.673
O9 0.248 0.751 0.636
O10 0.739 0.733 0.116
O11 0.739 0.267 0.884
Nb1 0.899 0.000 0.000
O12 0.569 0.301 0.327
Li1 0.806 0.500 0.500
Te3 0.086 0.000 0.500

As for the total moment: 0.0 Bohr magnetons per cell. The crystal system is monoclinic. The calculation puts the total energy at -103.176 eV/cell. The value obtained for the excess energy over the best structure of this formula in the dataset is 0.000 eV/atom.